[1]
The following is a DFT calculation (GGA-PBE) of a geometry-optimized Ag2W structure.

a b c (Å): 8.1241 8.1241 2.7044
angles (deg): 90.00 90.00 120.00
Space group P-62m (No. 189)
Inequivalent atoms, fractional coordinates:
Ag 0.0000 0.3088 0.0000
Ag 0.0000 0.6397 0.5000
W 0.0000 0.0000 0.5000
W 0.3333 0.6667 0.0000

Output
Energy above the most stable polymorph in this dataset ... 1.24 eV/f.u.
Crystal system ... hexagonal

[2]
The following is a DFT calculation (GGA-PBE) of a geometry-optimized AgW3 structure.

a b c (Å): 5.6418 8.6602 2.6872
angles (deg): 90.00 90.00 90.00
Space group Cmmm (No. 65)
Inequivalent atoms, fractional coordinates:
Ag 0.0000 0.0000 0.0000
W 0.0000 0.5000 0.0000
W 0.2500 0.2500 0.5000

Output
Energy above the most stable polymorph in this dataset ... 0.84 eV/f.u.
Crystal system ... orthorhombic

[3]
The following is a DFT calculation (GGA-PBE) of a geometry-optimized AgW3 structure.

a b c (Å): 4.6108 5.7665 4.9583
angles (deg): 90.00 90.00 90.00
Space group Pmmn (No. 59, origin choice 2)
Inequivalent atoms, fractional coordinates:
Ag 0.2500 0.2500 0.1649
W 0.2500 0.0102 0.6678
W 0.2500 0.7500 0.2002

Output
Energy above the most stable polymorph in this dataset ... 0.96 eV/f.u.
Crystal system ... orthorhombic

[4]
The following is a DFT calculation (GGA-PBE) of a geometry-optimized AgW3 structure.

a b c (Å): 4.0165 4.0165 4.0165
angles (deg): 90.00 90.00 90.00
Space group Pm-3m (No. 221)
Inequivalent atoms, fractional coordinates:
Ag 0.0000 0.0000 0.0000
W 0.0000 0.5000 0.5000

Output
Energy above the most stable polymorph in this dataset ... 0.78 eV/f.u.
Crystal system ... cubic

[5]
The following is a DFT calculation (GGA-PBE) of a geometry-optimized AgW8 structure.

a b c (Å): 9.6145 9.6145 3.1899
angles (deg): 90.00 90.00 90.00
Space group I4/mmm (No. 139)
Inequivalent atoms, fractional coordinates:
Ag 0.0000 0.0000 0.0000
W 0.0000 0.3335 0.0000
W 0.1720 0.1720 0.5000

Output
Crystal system ... tetragonal

[6]
The following is a DFT calculation (GGA-PBE) of a geometry-optimized Ag2W structure.

a b c (Å): 2.7368 2.7368 13.5561
angles (deg): 90.00 90.00 90.00
Space group I4/mmm (No. 139)
Inequivalent atoms, fractional coordinates:
Ag 0.0000 0.0000 0.1651
W 0.0000 0.0000 0.5000

Output
Energy above the most stable polymorph in this dataset ... 0.28 eV/f.u.
Crystal system ... tetragonal

[7]
The following is a DFT calculation (GGA-PBE) of a geometry-optimized AgW7 structure.

a b c (Å): 8.0598 8.0598 8.0598
angles (deg): 90.00 90.00 90.00
Space group Fm-3m (No. 225)
Inequivalent atoms, fractional coordinates:
Ag 0.0000 0.0000 0.0000
W 0.0000 0.0000 0.5000
W 0.0000 0.2500 0.2500

Output
Crystal system ... cubic

[8]
The following is a DFT calculation (GGA-PBE) of a geometry-optimized Ag2W structure.

a b c (Å): 10.3884 2.7615 7.3608
angles (deg): 90.00 104.54 90.00
Space group C2/m (No. 12)
Inequivalent atoms, fractional coordinates:
Ag 0.0343 0.0000 0.3080
Ag 0.1954 0.5000 0.6475
W 0.1334 0.5000 0.0167

Output
Energy above the most stable polymorph in this dataset ... 0.20 eV/f.u.
Crystal system ... monoclinic

Values of energy of formation, in order: 83.55; 52.55; 55.45; 51.17; 27.36; 52.72; 47.53; 50.12, all in kJ/mol of atoms.
Values of size of the total moment, in order: 0.00; 0.00; 0.00; 0.00; 0.00; 0.00; 0.00; 0.00, all in μB per cell.